[1]
Entry from Alexandria: an optimized crystal structure of LiMo2O (PBE with a Hubbard U).

```
LiMo2O
1.0
5.357 0.000 0.000
0.000 5.357 0.000
0.000 0.000 12.105
Li Mo O
4 8 4
Direct
0.000 0.000 0.000
0.000 0.500 0.250
0.500 0.000 0.750
0.500 0.500 0.500
0.097 0.250 0.625
0.250 0.597 0.875
0.250 0.903 0.375
0.403 0.250 0.125
0.597 0.750 0.125
0.750 0.097 0.375
0.750 0.403 0.875
0.903 0.750 0.625
0.000 0.000 0.500
0.000 0.500 0.750
0.500 0.000 0.250
0.500 0.500 0.000
```

symmetry	I-42d
density of states at the Fermi level	4.64	states/eV per cell
crystal system	tetragonal

---

[2]
Entry from Alexandria: an optimized crystal structure of LiMo2OsO (PBE with a Hubbard U).

```
LiMo2OsO
1.0
4.678 0.000 0.000
0.000 4.678 0.000
0.000 0.000 3.993
Li Mo Os O
1 2 1 1
Direct
0.000 0.000 0.000
0.000 0.500 0.000
0.500 0.000 0.000
0.000 0.000 0.500
0.500 0.500 0.500
```

symmetry	P4/mmm
density of states at the Fermi level	3.54	states/eV per cell
crystal system	tetragonal

---

[3]
Entry from Alexandria: an optimized crystal structure of LiMoPO5 (PBE with a Hubbard U).

```
LiMoPO5
1.0
7.233 0.000 0.000
3.345 6.658 0.000
0.260 -0.127 8.041
Li Mo P O
4 4 4 20
Direct
0.186 0.315 0.431
0.311 0.780 0.074
0.689 0.220 0.926
0.814 0.685 0.569
0.252 0.500 0.755
0.252 0.997 0.746
0.748 0.003 0.254
0.748 0.500 0.245
0.227 0.741 0.400
0.275 0.244 0.101
0.725 0.756 0.899
0.773 0.259 0.600
0.071 0.390 0.190
0.073 0.853 0.261
0.146 0.615 0.508
0.239 0.772 0.836
0.250 0.078 0.000
0.259 0.895 0.509
0.260 0.230 0.672
0.365 0.355 0.986
0.422 0.148 0.248
0.427 0.607 0.301
0.573 0.393 0.699
0.578 0.852 0.752
0.635 0.645 0.014
0.740 0.770 0.328
0.741 0.105 0.491
0.750 0.922 0.000
0.761 0.228 0.164
0.854 0.385 0.492
0.927 0.147 0.739
0.929 0.610 0.810
```

symmetry	P-1
crystal system	triclinic

---

[4]
Entry from Alexandria: an optimized crystal structure of LiMoP2O8 (PBE with a Hubbard U).

```
LiMoP2O8
1.0
5.019 0.000 0.000
-2.463 4.403 0.000
-0.077 -0.905 9.375
Li Mo P O
1 1 2 8
Direct
0.000 0.000 0.000
0.499 0.001 0.500
0.140 0.302 0.315
0.859 0.700 0.685
0.149 0.277 0.156
0.175 0.943 0.635
0.201 0.621 0.379
0.387 0.240 0.386
0.612 0.762 0.613
0.797 0.381 0.620
0.823 0.059 0.364
0.849 0.724 0.844
```

symmetry	P1
crystal system	triclinic

---

[5]
Entry from Alexandria: an optimized crystal structure of Li2MoPO6 (PBE with a Hubbard U).

```
Li2MoPO6
1.0
4.975 0.000 0.000
0.000 4.975 0.000
0.000 0.000 4.759
Li Mo P O
2 1 1 6
Direct
0.000 0.500 0.000
0.500 0.000 0.000
0.000 0.000 0.641
0.500 0.500 0.673
0.000 0.000 0.279
0.268 0.268 0.788
0.268 0.732 0.788
0.500 0.500 0.356
0.732 0.268 0.788
0.732 0.732 0.788
```

symmetry	P4mm
crystal system	tetragonal

---

[6]
Entry from Alexandria: an optimized crystal structure of LiMo4P7O24 (PBE with a Hubbard U).

```
LiMo4P7O24
1.0
10.521 0.000 0.000
-2.803 10.186 0.000
-3.367 -5.175 9.254
Li Mo P O
2 8 14 48
Direct
0.205 0.124 0.137
0.795 0.876 0.863
0.088 0.995 0.749
0.180 0.519 0.087
0.334 0.985 0.609
0.390 0.512 0.586
0.610 0.488 0.414
0.666 0.015 0.391
0.820 0.481 0.913
0.912 0.005 0.251
0.039 0.759 0.255
0.067 0.309 0.243
0.179 0.238 0.628
0.230 0.745 0.749
0.364 0.299 0.063
0.401 0.767 0.024
0.467 0.751 0.452
0.533 0.249 0.548
0.599 0.233 0.976
0.636 0.701 0.937
0.770 0.255 0.251
0.821 0.762 0.372
0.933 0.691 0.757
0.961 0.241 0.745
0.025 0.137 0.177
0.026 0.618 0.128
0.026 0.874 0.206
0.066 0.151 0.471
0.075 0.664 0.741
0.085 0.354 0.134
0.106 0.311 0.727
0.171 0.820 0.396
0.192 0.396 0.392
0.219 0.128 0.681
0.220 0.867 0.707
0.251 0.131 0.971
0.262 0.654 0.001
0.269 0.633 0.662
0.312 0.406 0.028
0.314 0.371 0.669
0.347 0.834 0.917
0.348 0.668 0.296
0.394 0.131 0.528
0.409 0.329 0.219
0.422 0.828 0.568
0.490 0.681 0.964
0.494 0.370 0.507
0.498 0.899 0.171
0.502 0.101 0.829
0.506 0.630 0.493
0.510 0.319 0.036
0.578 0.172 0.432
0.591 0.671 0.781
0.606 0.869 0.472
0.652 0.332 0.704
0.653 0.166 0.083
0.686 0.629 0.331
0.688 0.594 0.972
0.731 0.367 0.338
0.738 0.346 0.999
0.749 0.869 0.029
0.780 0.133 0.293
0.781 0.872 0.319
0.808 0.604 0.608
0.829 0.180 0.604
0.894 0.689 0.273
0.915 0.646 0.866
0.925 0.336 0.259
0.934 0.849 0.529
0.974 0.126 0.794
0.974 0.382 0.872
0.975 0.863 0.823
```

symmetry	P-1
density of states at the Fermi level	0.00	states/eV per cell
crystal system	triclinic

---

[7]
Entry from Alexandria: an optimized crystal structure of LiMoP2O8 (PBE with a Hubbard U).

```
LiMoP2O8
1.0
4.587 -2.370 0.000
4.587 2.370 0.000
-1.286 0.000 14.160
Li Mo P O
2 2 4 16
Direct
0.084 0.916 0.750
0.916 0.084 0.250
0.000 0.000 0.000
0.000 0.000 0.500
0.317 0.360 0.118
0.360 0.317 0.618
0.640 0.683 0.382
0.683 0.640 0.882
0.070 0.292 0.081
0.141 0.731 0.117
0.219 0.482 0.710
0.223 0.569 0.537
0.269 0.859 0.383
0.292 0.070 0.581
0.431 0.777 0.963
0.482 0.219 0.210
0.518 0.781 0.790
0.569 0.223 0.037
0.708 0.930 0.419
0.731 0.141 0.617
0.777 0.431 0.463
0.781 0.518 0.290
0.859 0.269 0.883
0.930 0.708 0.919
```

symmetry	C2/c
crystal system	monoclinic

---

[8]
Entry from Alexandria: an optimized crystal structure of Li3MoP2O8 (PBE with a Hubbard U).

```
Li3MoP2O8
1.0
5.009 0.000 0.000
0.000 9.069 0.000
-4.575 0.000 6.523
Li Mo P O
6 2 4 16
Direct
0.000 0.000 0.000
0.000 0.500 0.500
0.319 0.138 0.814
0.319 0.362 0.314
0.681 0.638 0.686
0.681 0.862 0.186
0.500 0.000 0.500
0.500 0.500 0.000
0.195 0.683 0.218
0.195 0.817 0.718
0.805 0.183 0.282
0.805 0.317 0.782
0.132 0.135 0.484
0.132 0.365 0.984
0.165 0.646 0.741
0.165 0.854 0.241
0.253 0.598 0.401
0.253 0.902 0.901
0.484 0.655 0.198
0.484 0.845 0.698
0.516 0.155 0.302
0.516 0.345 0.802
0.747 0.098 0.099
0.747 0.402 0.599
0.835 0.146 0.759
0.835 0.354 0.259
0.868 0.635 0.016
0.868 0.865 0.516
```

symmetry	P2_1/c
density of states at the Fermi level	0.00	states/eV per cell
crystal system	monoclinic

---

| no. | energy (eV/atom) | magnetic moment (μB per atom) |
| --- | --- | --- |
| 1 | -4.568 | 1.0025 |
| 2 | -4.356 | 1.0466 |
| 3 | -7.004 | 0.2500 |
| 4 | -6.988 | 0.0833 |
| 5 | -6.396 | 0.0998 |
| 6 | -7.280 | 0.3333 |
| 7 | -6.978 | 0.0833 |
| 8 | -6.753 | 0.2143 |